Material: Sr4V3MoO12
Method: DFT, PBE+U
State: optimized geometry

Calculated values
For the total energy, the calculation gives -7.203 eV/atom. Its density of states at the Fermi level is 10.81 states/eV/cell.

Unit cell a=7.9278 b=7.9278 c=7.9278 alpha=90.00 beta=90.00 gamma=90.00
Space group Im-3m (No. 229)
Unique sites:
1 Sr 0.2500 0.2500 0.2500 x8
2 V 0.0000 0.0000 0.5000 x6
3 Mo 0.0000 0.0000 0.0000 x2
4 O 0.0000 0.0000 0.2446 x12
5 O 0.0000 0.2500 0.5000 x12